# 1
Ac3Bi4 PBE optimized geometry; size of the total moment = 0.00 μB per formula unit; space-group type = Pm-3m
1.0
6.845 0.000 0.000
0.000 6.845 0.000
0.000 0.000 6.845
Ac Bi
3 4
Direct
0.000 0.000 0.500
0.000 0.500 0.000
0.500 0.000 0.000
0.000 0.000 0.000
0.000 0.500 0.500
0.500 0.000 0.500
0.500 0.500 0.000

***

# 2
AcBi5 PBE optimized geometry; size of the total moment = 0.00 μB per formula unit; space-group type = P2_1/m; energy relative to the lowest polymorph listed for this composition = 0.039 eV per atom
1.0
5.988 0.000 0.000
0.000 11.543 0.000
-2.713 0.000 6.285
Ac Bi
2 10
Direct
0.241 0.250 0.453
0.759 0.750 0.547
0.224 0.250 0.939
0.244 0.565 0.409
0.244 0.935 0.409
0.293 0.611 0.977
0.293 0.889 0.977
0.707 0.111 0.023
0.707 0.389 0.023
0.756 0.065 0.591
0.756 0.435 0.591
0.776 0.750 0.061

***

# 3
Ac5Bi PBE optimized geometry; size of the total moment = 0.00 μB per formula unit; space-group type = Cmmm
1.0
2.690 -8.511 0.000
2.690 8.511 0.000
0.000 0.000 5.405
Ac Bi
5 1
Direct
0.000 0.000 0.000
0.162 0.838 0.500
0.338 0.662 0.000
0.662 0.338 0.000
0.838 0.162 0.500
0.500 0.500 0.500

***

# 4
AcBi2 PBE optimized geometry; size of the total moment = 0.00 μB per formula unit; space-group type = Fd-3m; energy relative to the lowest polymorph listed for this composition = 0.299 eV per atom
1.0
0.000 4.743 4.743
4.743 0.000 4.743
4.743 4.743 0.000
Ac Bi
2 4
Direct
0.125 0.125 0.125
0.875 0.875 0.875
0.000 0.500 0.500
0.500 0.000 0.500
0.500 0.500 0.000
0.500 0.500 0.500

***

Quick rundown of ΔE_f, same order as above: -529; -252; -215; -384 meV per atom